Record 1
Crystalline Na2U2MnSe6 at its relaxed geometry, computed with PBE-GGA.

## Properties
**Total moment**: 9.00 μB per formula unit
**ΔE_f (raw)**: -1.044 eV per atom

Cell lengths 6.994, 12.162, 7.440 Å; angles 90.00, 108.00, 90.00 degrees
Space group C2/m (No. 12)
Asymmetric unit:
Na 0.000 0.167 0.000 x4
U 0.000 0.335 0.500 x4
Mn 0.000 0.000 0.500 x2
Se 0.236 0.164 0.721 x8
Se 0.245 0.000 0.281 x4

Record 2
Crystalline BaMn2N2 at its relaxed geometry, computed with PBE-GGA.

## Properties
**Total moment**: 2.02 μB per formula unit
**Energy above the most stable polymorph in this dataset**: 0.000 eV/atom
**ΔE_f (raw)**: -0.380 eV per atom

Cell lengths 3.418, 3.418, 11.533 Å; angles 90.00, 90.00, 90.00 degrees
Space group I4/mmm (No. 139)
Asymmetric unit:
Ba 0.000 0.000 0.000 x2
Mn 0.000 0.500 0.250 x4
N 0.000 0.000 0.337 x4

Record 3
Crystalline NaZnTcH2 at its relaxed geometry, computed with PBE-GGA.

## Properties
**Energy**: -17.40 eV per cell
**Total moment**: 1.08 μB per formula unit

Cell lengths 3.751, 3.751, 4.881 Å; angles 90.00, 90.00, 90.00 degrees
Space group P4/mmm (No. 123)
Asymmetric unit:
Na 0.000 0.000 0.000 x1
Zn 0.500 0.500 0.000 x1
Tc 0.500 0.500 0.500 x1
H 0.000 0.500 0.500 x2